Entry 1:
Density functional theory data (GGA-PBE) for crystalline Ag2Se4S5 at its relaxed geometry.

Structure (POSCAR):
```
Ag2Se4S5
1.0
5.235 0.000 0.000
0.372 6.800 0.000
1.768 2.493 8.635
Ag Se S
2 4 5
direct
0.131 0.074 0.204
0.869 0.926 0.796
0.219 0.724 0.973
0.497 0.367 0.231
0.503 0.633 0.769
0.781 0.276 0.027
0.164 0.754 0.440
0.273 0.869 0.592
0.500 0.000 0.000
0.727 0.131 0.408
0.836 0.246 0.560
```

Calculated values
Final energy in eV per atom: -3.51
Space group: P-1
Density in g/cm³: 3.74
Formation energy from raw total energies in meV per atom: 148



Entry 2:
Density functional theory data (GGA-PBE) for crystalline GdLuMnZn at its relaxed geometry.

Structure (POSCAR):
```
GdLuMnZn
1.0
0.000 3.520 3.520
3.520 0.000 3.520
3.520 3.520 0.000
Gd Lu Mn Zn
1 1 1 1
direct
0.000 0.000 0.000
0.500 0.500 0.500
0.250 0.250 0.250
0.750 0.750 0.750
```

Calculated values
Final energy in eV per atom: -7.32
Space group: F-43m
Density in g/cm³: 8.61
E_form in eV per atom: -0.06



Entry 3:
Density functional theory data (GGA-PBE) for crystalline KBaAu at its relaxed geometry.

Structure (POSCAR):
```
KBaAu
1.0
4.429 0.000 0.000
0.000 4.928 0.000
-0.030 0.000 13.114
K Ba Au
2 2 2
direct
0.002 0.250 0.361
0.998 0.750 0.639
0.499 0.250 0.872
0.501 0.750 0.128
0.000 0.250 0.076
0.000 0.750 0.924
```

Calculated values
ΔE to the lowest computed polymorph in meV per atom: 0
Final energy in eV per atom: -2.53
Space group: P2_1/m
Density in g/cm³: 4.33
E_form in eV per atom: -0.43



Entry 4:
Density functional theory data (GGA-PBE) for crystalline ZnCoOsRh2 at its relaxed geometry.

Structure (POSCAR):
```
ZnCoOsRh2
1.0
4.445 0.000 0.000
0.000 4.445 0.000
0.000 0.000 4.224
Zn Co Os Rh
1 1 1 2
direct
0.000 0.000 0.000
0.000 0.000 0.500
0.500 0.500 0.500
0.000 0.500 0.000
0.500 0.000 0.000
```

Calculated values
Final energy in eV per atom: -5.36
Space group: P4/mmm
Density in g/cm³: 10.36
E_form in eV per atom: 1.51



Entry 5:
Density functional theory data (GGA-PBE) for crystalline Ac2Er2Sn2C at its relaxed geometry.

Structure (POSCAR):
```
Ac2Er2Sn2C
1.0
-2.452 2.452 8.635
2.452 -2.452 8.635
2.452 2.452 -8.635
Ac Er Sn C
2 2 2 1
direct
0.162 0.162 0.000
0.838 0.838 0.000
0.000 0.500 0.500
0.500 0.000 0.500
0.372 0.372 0.000
0.628 0.628 0.000
0.000 0.000 0.000
```

Calculated values
Final energy in eV per atom: -5.64
Space group: I4/mmm
Density in g/cm³: 8.30
E_form in eV per atom: -0.70



Entry 6:
Density functional theory data (GGA-PBE) for crystalline Sm2TmPb3 at its relaxed geometry.

Structure (POSCAR):
```
Sm2TmPb3
1.0
2.494 -7.611 0.000
2.494 7.611 0.000
0.000 0.000 9.055
Sm Tm Pb
4 2 6
direct
0.000 0.000 0.000
0.000 0.000 0.500
0.333 0.667 0.000
0.667 0.333 0.000
0.332 0.668 0.500
0.668 0.332 0.500
0.168 0.832 0.255
0.168 0.832 0.745
0.500 0.500 0.254
0.500 0.500 0.746
0.832 0.168 0.255
0.832 0.168 0.745
```

Calculated values
ΔE to the lowest computed polymorph in meV per atom: 0
Final energy in eV per atom: -4.63
Space group: Cmmm
Density in g/cm³: 10.54
E_form in eV per atom: -0.45



Entry 7:
Density functional theory data (GGA-PBE) for crystalline SrScIn2 at its relaxed geometry.

Structure (POSCAR):
```
SrScIn2
1.0
7.498 0.000 0.000
0.000 3.744 0.000
0.000 0.000 7.837
Sr Sc In
2 2 4
direct
0.250 0.000 0.011
0.750 0.000 0.989
0.250 0.000 0.481
0.750 0.000 0.519
0.018 0.500 0.709
0.482 0.500 0.709
0.518 0.500 0.291
0.982 0.500 0.291
```

Calculated values
Final energy in eV per atom: -3.78
Space group: Pmma
Density in g/cm³: 5.47
E_form in eV per atom: -0.40



Entry 8:
Density functional theory data (GGA-PBE) for crystalline HoHfGaAu at its relaxed geometry.

Structure (POSCAR):
```
HoHfGaAu
1.0
0.000 3.480 3.480
3.480 0.000 3.480
3.480 3.480 0.000
Ho Hf Ga Au
1 1 1 1
direct
0.000 0.000 0.000
0.500 0.500 0.500
0.250 0.250 0.250
0.750 0.750 0.750
```

Calculated values
Final energy in eV per atom: -5.67
Space group: F-43m
Density in g/cm³: 12.02
E_form in eV per atom: -0.46